1.
{"formula": "ScZnInS4", "functional": "PBE", "state": "relaxed", "volume_a3_per_atom": 21.6, "space_group": "Imma, No. 74", "crystal_system": "orthorhombic", "dft_energy_ev_per_atom": -4.919, "lattice_angstrom": [[-3.7238, 3.7770, 5.3656], [3.7238, -3.7770, 5.3656], [3.7238, 3.7770, -5.3656]], "species": ["Sc", "Sc", "Zn", "Zn", "In", "In", "S", "S", "S", "S", "S", "S", "S", "S"], "fractional_positions": [[0.5000, 0.0000, 0.0000], [0.5000, 0.5000, 0.5000], [0.1225, 0.3725, 0.7500], [0.8775, 0.6275, 0.2500], [0.0000, 0.0000, 0.0000], [0.5000, 0.0000, 0.5000], [0.2575, 0.2514, 0.4940], [0.2575, 0.7635, 0.0060], [0.2614, 0.2495, 0.0119], [0.2624, 0.7505, 0.5119], [0.7376, 0.2495, 0.4881], [0.7386, 0.7505, 0.9881], [0.7425, 0.2365, 0.9940], [0.7425, 0.7486, 0.5060]]}


2.
{"formula": "ZrScIn2S", "functional": "PBE", "state": "relaxed", "dos_at_fermi_per_ev_atom": 1.22, "volume_a3_per_atom": 35.1, "space_group": "P4/mmm, No. 123", "crystal_system": "tetragonal", "dft_energy_ev_per_atom": -4.580, "lattice_angstrom": [[5.9369, 0.0000, 0.0000], [0.0000, 5.9369, 0.0000], [0.0000, 0.0000, 4.9837]], "species": ["Zr", "Sc", "In", "In", "S"], "fractional_positions": [[0.0000, 0.0000, 0.0000], [0.5000, 0.5000, 0.0000], [0.0000, 0.5000, 0.5000], [0.5000, 0.0000, 0.5000], [0.0000, 0.0000, 0.5000]]}


3.
{"formula": "In3Se3S", "functional": "PBE", "state": "relaxed", "dos_at_fermi_per_ev_atom": 0.53, "volume_a3_per_atom": 46.3, "space_group": "P6_3/m, No. 176", "crystal_system": "hexagonal", "dft_energy_ev_per_atom": -3.660, "lattice_angstrom": [[13.3586, 0.0000, 0.0000], [-6.6793, 11.5689, 0.0000], [0.0000, 0.0000, 4.1929]], "species": ["In", "In", "In", "In", "In", "In", "Se", "Se", "Se", "Se", "Se", "Se", "S", "S"], "fractional_positions": [[0.1171, 0.5973, 0.2500], [0.4027, 0.5198, 0.2500], [0.4802, 0.8829, 0.2500], [0.5198, 0.1171, 0.7500], [0.5973, 0.4802, 0.7500], [0.8829, 0.4027, 0.7500], [0.0159, 0.6384, 0.7500], [0.3616, 0.3775, 0.7500], [0.3775, 0.0159, 0.2500], [0.6225, 0.9841, 0.7500], [0.6384, 0.6225, 0.2500], [0.9841, 0.3616, 0.2500], [0.3333, 0.6667, 0.2500], [0.6667, 0.3333, 0.7500]]}


4.
{"formula": "In4SeS5", "functional": "PBE", "state": "relaxed", "dos_at_fermi_per_ev_atom": 0.02, "volume_a3_per_atom": 25.4, "space_group": "Pmmn, No. 59", "crystal_system": "orthorhombic", "dft_energy_ev_per_atom": -3.988, "lattice_angstrom": [[7.8627, 0.0000, 0.0000], [0.0000, 10.4359, 0.0000], [0.0000, 0.0000, 6.1948]], "species": ["In", "In", "In", "In", "In", "In", "In", "In", "Se", "Se", "S", "S", "S", "S", "S", "S", "S", "S", "S", "S"], "fractional_positions": [[0.0007, 0.2500, 0.0006], [0.2500, 0.5091, 0.4857], [0.2500, 0.9909, 0.4857], [0.4993, 0.2500, 0.0006], [0.5007, 0.7500, 0.9994], [0.7500, 0.0091, 0.5143], [0.7500, 0.4909, 0.5143], [0.9993, 0.7500, 0.9994], [0.2500, 0.2500, 0.7219], [0.7500, 0.7500, 0.2781], [0.0045, 0.5623, 0.7475], [0.0045, 0.9377, 0.7475], [0.2500, 0.7500, 0.2551], [0.4955, 0.5623, 0.7475], [0.4955, 0.9377, 0.7475], [0.5045, 0.0623, 0.2525], [0.5045, 0.4377, 0.2525], [0.7500, 0.2500, 0.7449], [0.9955, 0.0623, 0.2525], [0.9955, 0.4377, 0.2525]]}


5.
{"formula": "In6Se3S2", "functional": "PBE", "state": "relaxed", "dos_at_fermi_per_ev_atom": 0.28, "volume_a3_per_atom": 26.3, "space_group": "R-3m, No. 166", "crystal_system": "trigonal", "dft_energy_ev_per_atom": -3.596, "lattice_angstrom": [[2.0375, 1.1764, 20.0990], [-2.0375, 1.1764, 20.0990], [0.0000, -2.3527, 20.0990]], "species": ["In", "In", "In", "In", "In", "In", "Se", "Se", "Se", "S", "S"], "fractional_positions": [[0.0930, 0.0930, 0.0930], [0.1846, 0.1846, 0.1846], [0.3628, 0.3628, 0.3628], [0.6372, 0.6372, 0.6372], [0.8154, 0.8154, 0.8154], [0.9070, 0.9070, 0.9070], [0.0000, 0.0000, 0.0000], [0.2797, 0.2797, 0.2797], [0.7203, 0.7203, 0.7203], [0.4574, 0.4574, 0.4574], [0.5426, 0.5426, 0.5426]]}


6.
{"formula": "In4Se3S", "functional": "PBE", "state": "relaxed", "volume_a3_per_atom": 34.1, "space_group": "Pmn2_1, No. 31", "crystal_system": "orthorhombic", "dft_energy_ev_per_atom": -3.633, "lattice_angstrom": [[8.2964, 0.0000, 0.0000], [0.0000, 9.8099, 0.0000], [0.0000, 0.0000, 6.7051]], "species": ["In", "In", "In", "In", "In", "In", "In", "In", "Se", "Se", "Se", "Se", "Se", "Se", "S", "S"], "fractional_positions": [[0.0000, 0.1194, 0.0000], [0.0000, 0.8668, 0.5095], [0.2240, 0.3311, 0.5541], [0.2760, 0.6689, 0.0541], [0.5000, 0.1332, 0.0095], [0.5000, 0.8806, 0.5000], [0.7240, 0.6689, 0.0541], [0.7760, 0.3311, 0.5541], [0.0000, 0.8639, 0.1128], [0.2436, 0.2757, 0.1026], [0.2564, 0.7243, 0.6026], [0.5000, 0.1361, 0.6128], [0.7436, 0.7243, 0.6026], [0.7564, 0.2757, 0.1026], [0.0000, 0.1091, 0.6223], [0.5000, 0.8909, 0.1223]]}


7.
{"formula": "In4Se2S3", "functional": "PBE", "state": "relaxed", "dos_at_fermi_per_ev_atom": 0.31, "volume_a3_per_atom": 27.7, "space_group": "C2/m, No. 12", "crystal_system": "monoclinic", "dft_energy_ev_per_atom": -3.766, "lattice_angstrom": [[6.9499, -1.9266, 0.0000], [6.9499, 1.9266, 0.0000], [-2.2874, 0.0000, 9.3092]], "species": ["In", "In", "In", "In", "Se", "Se", "S", "S", "S"], "fractional_positions": [[0.1349, 0.1349, 0.0738], [0.3207, 0.3207, 0.4092], [0.6793, 0.6793, 0.5908], [0.8651, 0.8651, 0.9262], [0.2100, 0.2100, 0.8124], [0.7900, 0.7900, 0.1876], [0.1299, 0.1299, 0.4060], [0.5000, 0.5000, 0.0000], [0.8701, 0.8701, 0.5940]]}


8.
{"formula": "In3SeS", "functional": "PBE", "state": "relaxed", "dos_at_fermi_per_ev_atom": 0.50, "volume_a3_per_atom": 31.3, "space_group": "Pm-3m, No. 221", "crystal_system": "cubic", "dft_energy_ev_per_atom": -3.046, "lattice_angstrom": [[5.3870, 0.0000, 0.0000], [0.0000, 5.3870, 0.0000], [0.0000, 0.0000, 5.3870]], "species": ["In", "In", "In", "Se", "S"], "fractional_positions": [[0.0000, 0.0000, 0.5000], [0.0000, 0.5000, 0.0000], [0.5000, 0.0000, 0.0000], [0.5000, 0.5000, 0.5000], [0.0000, 0.0000, 0.0000]]}


9.
{"formula": "InSeS2", "functional": "PBE", "state": "relaxed", "dos_at_fermi_per_ev_atom": 0.71, "volume_a3_per_atom": 19.4, "space_group": "Fm-3m, No. 225", "crystal_system": "cubic", "dft_energy_ev_per_atom": -3.222, "lattice_angstrom": [[6.7705, 0.0000, 0.0000], [0.0000, 6.7705, 0.0000], [0.0000, 0.0000, 6.7705]], "species": ["In", "In", "In", "In", "Se", "Se", "Se", "Se", "S", "S", "S", "S", "S", "S", "S", "S"], "fractional_positions": [[0.0000, 0.0000, 0.0000], [0.0000, 0.5000, 0.5000], [0.5000, 0.0000, 0.5000], [0.5000, 0.5000, 0.0000], [0.0000, 0.0000, 0.5000], [0.0000, 0.5000, 0.0000], [0.5000, 0.0000, 0.0000], [0.5000, 0.5000, 0.5000], [0.2500, 0.2500, 0.2500], [0.2500, 0.2500, 0.7500], [0.2500, 0.7500, 0.2500], [0.2500, 0.7500, 0.7500], [0.7500, 0.2500, 0.2500], [0.7500, 0.2500, 0.7500], [0.7500, 0.7500, 0.2500], [0.7500, 0.7500, 0.7500]]}


10.
{"formula": "In4Se5S", "functional": "PBE", "state": "relaxed", "dos_at_fermi_per_ev_atom": 0.14, "volume_a3_per_atom": 26.5, "space_group": "C2/m, No. 12", "crystal_system": "monoclinic", "dft_energy_ev_per_atom": -3.689, "lattice_angstrom": [[8.5908, -1.9845, 0.0000], [8.5908, 1.9845, 0.0000], [-2.2993, 0.0000, 7.7701]], "species": ["In", "In", "In", "In", "Se", "Se", "Se", "Se", "Se", "S"], "fractional_positions": [[0.0039, 0.0039, 0.2602], [0.3313, 0.3313, 0.8830], [0.6687, 0.6687, 0.1170], [0.9961, 0.9961, 0.7398], [0.1605, 0.1605, 0.8724], [0.1652, 0.1652, 0.3449], [0.5000, 0.5000, 0.5000], [0.8348, 0.8348, 0.6551], [0.8395, 0.8395, 0.1276], [0.5000, 0.5000, 0.0000]]}


11.
{"formula": "In5Se2S", "functional": "PBE", "state": "relaxed", "dos_at_fermi_per_ev_atom": 0.42, "volume_a3_per_atom": 27.9, "space_group": "Cmcm, No. 63", "crystal_system": "orthorhombic", "dft_energy_ev_per_atom": -3.315, "lattice_angstrom": [[2.8202, -5.7245, 0.0000], [2.8202, 5.7245, 0.0000], [0.0000, 0.0000, 13.8344]], "species": ["In", "In", "In", "In", "In", "In", "In", "In", "In", "In", "Se", "Se", "Se", "Se", "S", "S"], "fractional_positions": [[0.0684, 0.9316, 0.6361], [0.0684, 0.9316, 0.8639], [0.2975, 0.7025, 0.2500], [0.3906, 0.6094, 0.5680], [0.3906, 0.6094, 0.9320], [0.6094, 0.3906, 0.0680], [0.6094, 0.3906, 0.4320], [0.7025, 0.2975, 0.7500], [0.9316, 0.0684, 0.1361], [0.9316, 0.0684, 0.3639], [0.1775, 0.8225, 0.0564], [0.1775, 0.8225, 0.4436], [0.8225, 0.1775, 0.5564], [0.8225, 0.1775, 0.9436], [0.3098, 0.6902, 0.7500], [0.6902, 0.3098, 0.2500]]}


12.
{"formula": "In2SeS4", "functional": "PBE", "state": "relaxed", "dos_at_fermi_per_ev_atom": 0.23, "volume_a3_per_atom": 26.1, "space_group": "P-1, No. 2", "crystal_system": "triclinic", "dft_energy_ev_per_atom": -3.903, "lattice_angstrom": [[3.8889, 0.0000, 0.0000], [1.9427, 3.3963, 0.0000], [0.1785, 1.8180, 13.8081]], "species": ["In", "In", "Se", "S", "S", "S", "S"], "fractional_positions": [[0.1965, 0.0947, 0.1374], [0.8035, 0.9053, 0.8626], [0.5000, 0.5000, 0.0000], [0.1166, 0.2874, 0.7741], [0.3854, 0.7261, 0.5343], [0.6146, 0.2739, 0.4657], [0.8834, 0.7126, 0.2259]]}